Entry 1:
A plane-wave DFT calculation with PBE-GGA was carried out for Tb3Zn3Ga after structural relaxation.

Fermi-level density of states	6.0	states/eV/cell
E_tot	-3.357	eV/atom
formation enthalpy at 0 K	-9.1	kcal/mol of atoms

```
Tb3Zn3Ga
1.0
-1.8041 2.2309 9.6864
1.8041 -2.2309 9.6864
1.8041 2.2309 -9.6864
Tb Zn Ga
3 3 1
direct
0.0000 0.0000 0.0000
0.3854 0.3854 0.0000
0.6929 0.1929 0.5000
0.1256 0.6256 0.5000
0.5543 0.5543 0.0000
0.8320 0.8320 0.0000
0.2574 0.7574 0.5000
```

---

Entry 2:
A plane-wave DFT calculation with PBE-GGA was carried out for Be2PAu2 after structural relaxation.

Fermi-level density of states	4.7	states/eV/cell
E_tot	-3.721	eV/atom
formation enthalpy at 0 K	3.8	kcal/mol of atoms

```
Be2PAu2
1.0
7.1029 0.0000 0.0000
0.0000 7.1029 0.0000
0.0000 0.0000 2.7950
Be P Au
4 2 4
direct
0.1430 0.3570 0.0000
0.3570 0.8570 0.0000
0.6430 0.1430 0.0000
0.8570 0.6430 0.0000
0.0000 0.0000 0.5000
0.5000 0.5000 0.5000
0.1532 0.6532 0.5000
0.3468 0.1532 0.5000
0.6532 0.8468 0.5000
0.8468 0.3468 0.5000
```